Record 1
This record from the Alexandria database describes crystalline AcZn2Cd4 at its relaxed geometry. The functional is PBE-GGA. Values from VASP.

```
&SYSTEM
  ibrav = 0, nat = 7, ntyp = 3
/
ATOMIC_SPECIES
Zn 65.41 Zn.upf
Cd 112.41 Cd.upf
Ac 227.00 Ac.upf
CELL_PARAMETERS angstrom
-2.234 -3.526 -2.015
3.181 -2.919 1.582
-5.705 0.427 5.578
ATOMIC_POSITIONS crystal
Zn 0.500 0.419 0.838
Cd 0.500 0.819 0.638
Cd 0.500 0.181 0.362
Cd 0.000 0.318 0.636
Ac 0.000 0.000 0.000
Zn 0.500 0.581 0.162
Cd 0.000 0.682 0.364
```

Results
Uncorrected energy, eV for the cell shown: -11.965
SG: Cmmm, No. 65
Calculated density, g/cm³: 8.22
V, Å³ per atom: 23.3
ΔH_f (0 K), eV per atom: -0.235

=====

Record 2
This record from the Alexandria database describes crystalline La2TlCdGe at its relaxed geometry. The functional is PBE-GGA. Values from VASP.

```
&SYSTEM
  ibrav = 0, nat = 10, ntyp = 4
/
ATOMIC_SPECIES
La 138.91 La.upf
Ge 72.64 Ge.upf
Cd 112.41 Cd.upf
Tl 204.38 Tl.upf
CELL_PARAMETERS angstrom
-0.776 -2.321 3.880
0.581 -3.955 -2.249
14.044 0.347 3.018
ATOMIC_POSITIONS crystal
La 0.500 0.000 0.895
Ge 0.500 0.000 0.110
La 0.000 0.500 0.105
La 0.500 0.000 0.317
La 0.000 0.500 0.683
Cd 0.000 0.000 0.500
Cd 0.500 0.500 0.500
Tl 0.000 0.500 0.357
Ge 0.000 0.500 0.890
Tl 0.500 0.000 0.643
```

Results
Uncorrected energy, eV for the cell shown: -40.421
SG: P4/nmm, No. 129
Calculated density, g/cm³: 7.33
V, Å³ per atom: 30.2
ΔH_f (0 K), eV per atom: -0.491

=====

Record 3
This record from the Alexandria database describes crystalline TlMo2Pt at its relaxed geometry. The functional is PBE-GGA. Values from VASP.

```
&SYSTEM
  ibrav = 0, nat = 4, ntyp = 3
/
ATOMIC_SPECIES
Mo 95.94 Mo.upf
Tl 204.38 Tl.upf
Pt 195.08 Pt.upf
CELL_PARAMETERS angstrom
-4.405 -0.841 -2.396
-0.296 -4.838 -1.536
0.887 2.351 4.420
ATOMIC_POSITIONS crystal
Mo 0.773 0.273 0.500
Tl 0.244 0.744 0.500
Mo 0.982 0.982 0.000
Pt 0.501 0.501 0.000
```

Results
Uncorrected energy, eV for the cell shown: -28.776
SG: Imm2, No. 44
Calculated density, g/cm³: 14.09
V, Å³ per atom: 17.4
E above lowest polymorph, meV/atom: 60
ΔH_f (0 K), eV per atom: 0.323

=====

Record 4
This record from the Alexandria database describes crystalline ThPRuRh at its relaxed geometry. The functional is PBE-GGA. Values from VASP.

```
&SYSTEM
  ibrav = 0, nat = 4, ntyp = 4
/
ATOMIC_SPECIES
Th 232.04 Th.upf
Ru 101.07 Ru.upf
Rh 102.91 Rh.upf
P 30.97 P.upf
CELL_PARAMETERS angstrom
4.122 0.000 0.000
0.000 3.918 0.000
0.000 -1.959 4.601
ATOMIC_POSITIONS crystal
Th 0.500 0.219 0.437
Ru 0.000 0.894 0.789
Rh 0.500 0.494 0.988
P 0.000 0.621 0.241
```

Results
Uncorrected energy, eV for the cell shown: -31.717
SG: Amm2, No. 38
Calculated density, g/cm³: 10.44
V, Å³ per atom: 18.6
ΔH_f (0 K), eV per atom: -0.565

=====

Record 5
This record from the Alexandria database describes crystalline AlB6C at its relaxed geometry. The functional is PBE-GGA. Values from VASP.

```
&SYSTEM
  ibrav = 0, nat = 8, ntyp = 3
/
ATOMIC_SPECIES
B 10.81 B.upf
C 12.01 C.upf
Al 26.98 Al.upf
CELL_PARAMETERS angstrom
-0.938 1.916 3.234
0.536 -4.926 -0.238
3.303 2.264 2.930
ATOMIC_POSITIONS crystal
B 0.276 0.134 0.410
B 0.285 0.538 0.462
B 0.724 0.866 0.590
C 0.500 0.000 0.000
B 0.276 0.590 0.866
Al 0.000 0.000 0.000
B 0.715 0.462 0.538
B 0.724 0.410 0.134
```

Results
Uncorrected energy, eV for the cell shown: -48.143
SG: C2/m, No. 12
Calculated density, g/cm³: 2.65
V, Å³ per atom: 8.1
ΔH_f (0 K), eV per atom: 0.611

=====

Record 6
This record from the Alexandria database describes crystalline BeNb2B2Ir5 at its relaxed geometry. The functional is PBE-GGA. Values from VASP.

```
&SYSTEM
  ibrav = 0, nat = 20, ntyp = 4
/
ATOMIC_SPECIES
Nb 92.91 Nb.upf
B 10.81 B.upf
Ir 192.22 Ir.upf
Be 9.01 Be.upf
CELL_PARAMETERS angstrom
-1.312 -2.513 -0.247
8.240 -4.086 -2.190
1.580 -1.725 9.160
ATOMIC_POSITIONS crystal
Nb 0.000 0.815 0.685
Nb 0.000 0.315 0.815
B 0.000 0.870 0.370
Ir 0.500 0.206 0.055
Be 0.000 0.000 0.000
Ir 0.500 0.000 0.500
Ir 0.500 0.555 0.706
Ir 0.500 0.794 0.945
Be 0.000 0.500 0.500
Ir 0.500 0.055 0.794
Ir 0.500 0.500 0.000
Ir 0.500 0.445 0.294
B 0.000 0.370 0.130
Ir 0.500 0.294 0.555
Nb 0.000 0.185 0.315
Ir 0.500 0.945 0.206
Nb 0.000 0.685 0.185
B 0.000 0.130 0.630
Ir 0.500 0.706 0.445
B 0.000 0.630 0.870
```

Results
Uncorrected energy, eV for the cell shown: -174.210
SG: P4/mbm, No. 127
Calculated density, g/cm³: 15.37
V, Å³ per atom: 12.7
ΔH_f (0 K), eV per atom: -0.558

=====

- Number 4 is which compound?
  ThPRuRh

=====

- Which formula does entry 5 have?
  AlB6C

=====

- Which value of uncorrected energy does entry 1 give?
  -11.965 eV for the cell shown

=====

- Which of these has the highest V?
  La2TlCdGe